A plane-wave DFT calculation with PBE was carried out for a geometry-optimized CaMn2Fe structure.

Computed properties:
- Relative energy among the computed polymorphs: 309 meV/atom
- Crystal system: orthorhombic
- Energy relative to the elements: 0.653 eV per atom

Lattice parameters (Å, degrees): 5.501 5.501 5.501 148.42 128.27 61.88
Element x y z (fractional)
Fe 0.216 0.716 0.500
Mn 0.775 0.275 0.500
Mn 0.025 0.025 0.000
Ca 0.483 0.483 0.000


A plane-wave DFT calculation with PBE was carried out for a geometry-optimized Re2BrN structure.

Computed properties:
- Relative energy among the computed polymorphs: 0 meV/atom
- Crystal system: tetragonal

Lattice parameters (Å, degrees): 4.769 4.769 6.782 69.42 69.42 90.00
Element x y z (fractional)
Br 0.750 0.250 0.500
Br 0.000 0.000 0.000
Re 0.240 0.625 0.250
Re 0.510 0.125 0.250
Re 0.375 0.490 0.750
Re 0.875 0.760 0.750
N 0.500 0.500 0.000
N 0.250 0.750 0.500


A plane-wave DFT calculation with PBE was carried out for a geometry-optimized SiAgP2 structure.

Computed properties:
- Crystal system: tetragonal
- Total DFT energy (no corrections): -4.290 eV/atom

Lattice parameters (Å, degrees): 3.050 3.050 7.103 90.00 90.00 90.00
Element x y z (fractional)
P 0.000 0.000 0.059
P 0.500 0.500 0.197
Ag 0.500 0.500 0.746
Si 0.000 0.000 0.498


A plane-wave DFT calculation with PBE was carried out for a geometry-optimized BaTl9Cd2 structure.

Computed properties:
- Relative energy among the computed polymorphs: 45 meV/atom
- Crystal system: hexagonal
- Energy relative to the elements: -0.031 eV per atom

Lattice parameters (Å, degrees): 3.769 10.697 10.697 120.00 90.00 90.00
Element x y z (fractional)
Cd 0.000 0.333 0.667
Cd 0.000 0.667 0.333
Tl 0.500 0.815 0.630
Tl 0.000 0.500 0.500
Tl 0.500 0.815 0.185
Tl 0.000 0.500 0.000
Tl 0.500 0.630 0.815
Tl 0.500 0.185 0.370
Tl 0.500 0.370 0.185
Tl 0.000 0.000 0.500
Tl 0.500 0.185 0.815
Ba 0.000 0.000 0.000


A plane-wave DFT calculation with PBE was carried out for a geometry-optimized ZrO structure.

Computed properties:
- Crystal system: cubic
- Total DFT energy (no corrections): -8.873 eV/atom

Lattice parameters (Å, degrees): 6.642 6.642 6.642 90.00 90.00 90.00
Element x y z (fractional)
Zr 0.817 0.183 0.183
Zr 0.817 0.817 0.817
Zr 0.683 0.317 0.683
Zr 0.317 0.683 0.683
Zr 0.317 0.317 0.317
Zr 0.183 0.817 0.183
Zr 0.683 0.683 0.317
Zr 0.183 0.183 0.817
O 0.360 0.360 0.640
O 0.860 0.140 0.860
O 0.640 0.360 0.360
O 0.860 0.860 0.140
O 0.140 0.140 0.140
O 0.640 0.640 0.640
O 0.360 0.640 0.360
O 0.140 0.860 0.860


A plane-wave DFT calculation with PBE was carried out for a geometry-optimized NbTeCl2 structure.

Computed properties:
- Relative energy among the computed polymorphs: 999 meV/atom
- Crystal system: cubic

Lattice parameters (Å, degrees): 4.875 4.875 4.875 60.00 60.00 60.00
Element x y z (fractional)
Cl 0.250 0.250 0.250
Cl 0.750 0.750 0.750
Nb 0.000 0.000 0.000
Te 0.500 0.500 0.500


A plane-wave DFT calculation with PBE was carried out for a geometry-optimized CaCdCo2 structure.

Computed properties:
- Crystal system: tetragonal
- Energy relative to the elements: 0.444 eV per atom

Lattice parameters (Å, degrees): 4.781 4.781 4.781 126.00 126.04 79.86
Element x y z (fractional)
Co 0.500 0.500 0.000
Co 0.000 0.000 0.000
Cd 0.750 0.250 0.500
Ca 0.250 0.750 0.500


A plane-wave DFT calculation with PBE was carried out for a geometry-optimized MgFeRh14 structure.

Computed properties:
- Crystal system: tetragonal
- Energy relative to the elements: -0.057 eV per atom

Lattice parameters (Å, degrees): 5.428 5.428 7.706 90.00 90.00 90.01
Element x y z (fractional)
Rh 0.875 0.125 0.500
Rh 0.375 0.125 0.000
Rh 0.127 0.873 0.749
Rh 0.127 0.377 0.251
Rh 0.623 0.377 0.251
Rh 0.875 0.625 0.500
Rh 0.623 0.873 0.251
Rh 0.375 0.125 0.500
Rh 0.875 0.625 0.000
Rh 0.623 0.377 0.749
Rh 0.127 0.873 0.251
Rh 0.623 0.873 0.749
Rh 0.127 0.377 0.749
Rh 0.375 0.625 0.500
Fe 0.375 0.625 0.000
Mg 0.875 0.125 0.000


A plane-wave DFT calculation with PBE was carried out for a geometry-optimized Nd2Ho3Tm8 structure.

Computed properties:
- Crystal system: monoclinic
- Energy relative to the elements: 0.250 eV per atom

Lattice parameters (Å, degrees): 5.469 7.540 11.005 110.05 90.01 90.00
Element x y z (fractional)
Nd 0.500 0.760 0.520
Nd 0.500 0.240 0.480
Ho 0.000 0.714 0.000
Ho 0.000 0.286 0.000
Ho 0.500 0.000 0.000
Tm 0.500 0.606 0.786
Tm 0.500 0.394 0.214
Tm 0.000 0.661 0.321
Tm 0.500 0.179 0.785
Tm 0.000 0.339 0.679
Tm 0.500 0.821 0.215
Tm 0.000 0.872 0.745
Tm 0.000 0.128 0.255


A plane-wave DFT calculation with PBE was carried out for a geometry-optimized LiReTcO6 structure.

Computed properties:
- Crystal system: trigonal
- Total DFT energy (no corrections): -7.523 eV/atom

Lattice parameters (Å, degrees): 5.202 5.202 9.391 90.00 90.00 120.00
Element x y z (fractional)
O 0.013 0.374 0.638
O 0.374 0.013 0.138
O 0.360 0.987 0.638
O 0.987 0.626 0.362
O 0.360 0.374 0.862
O 0.626 0.640 0.638
O 0.640 0.626 0.138
O 0.013 0.640 0.862
O 0.640 0.013 0.362
O 0.987 0.360 0.138
O 0.626 0.987 0.862
O 0.374 0.360 0.362
Re 0.667 0.333 0.250
Re 0.333 0.667 0.750
Tc 0.333 0.667 0.250
Tc 0.667 0.333 0.750
Li 0.000 0.000 0.000
Li 0.000 0.000 0.500


A plane-wave DFT calculation with PBE was carried out for a geometry-optimized Er2PdPt structure.

Computed properties:
- Crystal system: cubic
- Energy relative to the elements: -1.111 eV per atom

Lattice parameters (Å, degrees): 4.908 4.908 4.908 60.00 60.00 60.00
Element x y z (fractional)
Er 0.500 0.500 0.500
Er 0.000 0.000 0.000
Pd 0.250 0.250 0.250
Pt 0.750 0.750 0.750


A plane-wave DFT calculation with PBE was carried out for a geometry-optimized PmYTlRh structure.

Computed properties:
- Relative energy among the computed polymorphs: 0 meV/atom
- Crystal system: tetragonal
- Energy relative to the elements: -0.570 eV per atom

Lattice parameters (Å, degrees): 3.562 3.562 7.807 90.00 90.00 90.00
Element x y z (fractional)
Tl 0.000 0.000 0.080
Rh 0.000 0.000 0.561
Pm 0.500 0.500 0.786
Y 0.500 0.500 0.357


A plane-wave DFT calculation with PBE was carried out for a geometry-optimized Sr3PdAu2O6 structure.

Computed properties:
- Crystal system: trigonal
- Total DFT energy (no corrections): -5.106 eV/atom

Lattice parameters (Å, degrees): 5.793 5.793 6.529 90.00 90.00 120.00
Element x y z (fractional)
O 0.165 0.835 0.316
O 0.835 0.165 0.684
O 0.165 0.330 0.316
O 0.835 0.670 0.684
O 0.670 0.835 0.316
O 0.330 0.165 0.684
Sr 0.667 0.333 0.391
Sr 0.000 0.000 0.000
Sr 0.333 0.667 0.609
Au 0.333 0.667 0.092
Au 0.667 0.333 0.908
Pd 0.000 0.000 0.500


A plane-wave DFT calculation with PBE was carried out for a geometry-optimized Ni6B4Rh structure.

Computed properties:
- Crystal system: hexagonal
- Energy relative to the elements: -0.121 eV per atom

Lattice parameters (Å, degrees): 5.065 7.043 7.043 120.00 90.00 90.00
Element x y z (fractional)
Rh 0.214 0.667 0.333
Rh 0.714 0.333 0.667
Ni 0.117 0.461 0.922
Ni 0.617 0.539 0.078
Ni 0.117 0.461 0.539
Ni 0.117 0.078 0.539
Ni 0.617 0.922 0.461
Ni 0.987 0.252 0.126
Ni 0.987 0.874 0.748
Ni 0.487 0.126 0.252
Ni 0.617 0.539 0.461
Ni 0.987 0.874 0.126
Ni 0.487 0.126 0.874
Ni 0.487 0.748 0.874
B 0.336 0.333 0.667
B 0.376 0.822 0.178
B 0.876 0.643 0.822
B 0.376 0.357 0.178
B 0.876 0.178 0.357
B 0.836 0.667 0.333
B 0.376 0.822 0.643
B 0.876 0.178 0.822


A plane-wave DFT calculation with PBE was carried out for a geometry-optimized Si2TcSb structure.

Computed properties:
- Crystal system: monoclinic
- Total DFT energy (no corrections): -6.243 eV/atom

Lattice parameters (Å, degrees): 4.410 4.410 5.673 82.73 82.73 42.19
Element x y z (fractional)
Sb 0.222 0.222 0.275
Si 0.003 0.003 0.935
Si 0.776 0.776 0.692
Tc 0.500 0.500 0.599


A plane-wave DFT calculation with PBE was carried out for a geometry-optimized ScVGe2 structure.

Computed properties:
- Relative energy among the computed polymorphs: 192 meV/atom
- Crystal system: tetragonal
- Energy relative to the elements: -0.178 eV per atom

Lattice parameters (Å, degrees): 7.055 7.055 5.757 52.22 52.22 90.00
Element x y z (fractional)
Ge 0.102 0.625 0.250
Ge 0.648 0.125 0.250
Ge 0.875 0.898 0.750
Ge 0.375 0.352 0.750
Sc 0.250 0.750 0.500
Sc 0.500 0.500 0.000
V 0.000 0.000 0.000
V 0.750 0.250 0.500


A plane-wave DFT calculation with PBE was carried out for a geometry-optimized Ba5In structure.

Computed properties:
- Relative energy among the computed polymorphs: 0 meV/atom
- Crystal system: monoclinic
- Energy relative to the elements: -0.136 eV per atom

Lattice parameters (Å, degrees): 7.926 7.926 10.647 68.26 68.26 32.42
Element x y z (fractional)
Ba 0.306 0.306 0.389
Ba 0.937 0.937 0.019
Ba 0.645 0.645 0.166
Ba 0.966 0.966 0.612
Ba 0.674 0.674 0.759
In 0.306 0.306 0.889


A plane-wave DFT calculation with PBE was carried out for a geometry-optimized AlFe2Hg structure.

Computed properties:
- Crystal system: tetragonal
- Energy relative to the elements: 0.177 eV per atom

Lattice parameters (Å, degrees): 4.005 3.821 3.821 90.00 90.00 90.00
Element x y z (fractional)
Al 0.500 0.000 0.500
Fe 0.000 0.500 0.500
Fe 0.000 0.000 0.000
Hg 0.500 0.500 0.000


A plane-wave DFT calculation with PBE was carried out for a geometry-optimized CsTlBr3 structure.

Computed properties:
- Crystal system: orthorhombic
- Total DFT energy (no corrections): -2.710 eV/atom

Lattice parameters (Å, degrees): 26.389 8.197 10.455 90.00 158.16 90.00
Element x y z (fractional)
Tl 0.374 0.750 0.874
Tl 0.874 0.750 0.374
Tl 0.126 0.250 0.626
Tl 0.626 0.250 0.126
Br 0.964 0.250 0.464
Br 0.750 0.500 0.250
Br 0.120 0.750 0.120
Br 0.250 0.000 0.750
Br 0.380 0.250 0.380
Br 0.036 0.750 0.536
Br 0.880 0.250 0.880
Br 0.250 0.500 0.750
Br 0.620 0.750 0.620
Br 0.536 0.750 0.036
Br 0.464 0.250 0.964
Br 0.750 0.000 0.250
Cs 0.099 0.250 0.099
Cs 0.401 0.750 0.401
Cs 0.901 0.750 0.901
Cs 0.599 0.250 0.599


A plane-wave DFT calculation with PBE was carried out for a geometry-optimized Cs2AgSn structure.

Computed properties:
- Relative energy among the computed polymorphs: 0 meV/atom
- Crystal system: tetragonal
- Energy relative to the elements: 0.004 eV per atom

Lattice parameters (Å, degrees): 10.110 10.110 10.110 93.87 93.87 149.88
Element x y z (fractional)
Cs 0.625 0.301 0.176
Cs 0.699 0.875 0.324
Cs 0.551 0.375 0.676
Cs 0.125 0.449 0.824
Ag 0.500 0.500 0.000
Ag 0.750 0.250 0.500
Sn 0.000 0.000 0.000
Sn 0.250 0.750 0.500


| no. | density of states at the Fermi level (states/eV per cell) |
| --- | --- |
| 1 | 3.80 |
| 2 | 3.55 |
| 3 | 1.42 |
| 4 | 8.63 |
| 5 | 16.70 |
| 6 | 2.55 |
| 7 | 8.14 |
| 8 | 19.66 |
| 9 | 21.85 |
| 10 | 2.83 |
| 11 | 2.33 |
| 12 | 3.13 |
| 13 | 8.29 |
| 14 | 9.56 |
| 15 | 1.89 |
| 16 | 3.23 |
| 17 | 7.45 |
| 18 | 2.75 |
| 19 | 2.37 |
| 20 | 6.39 |